The following is a DFT calculation (PBE) of crystalline TbGa4Pt6 at its relaxed geometry.

POSCAR file:
```
TbGa4Pt6
1.0
3.893 0.000 0.000
0.000 6.410 -3.701
0.000 0.000 7.402
Tb Ga Pt
1 4 6
Cartesian
0.000 0.000 0.000 Tb
1.947 5.146 1.511 Ga
1.947 2.529 0.000 Ga
1.947 5.146 -1.511 Ga
0.000 2.137 3.701 Ga
0.000 3.418 -1.483 Pt
1.947 3.926 3.701 Pt
0.000 3.418 1.483 Pt
0.000 5.985 0.000 Pt
1.947 1.242 5.251 Pt
1.947 1.242 2.151 Pt
```

Values from the calculation:
Calculated total energy (eV per atom): -5.621
Symmetry: No. 187

***

The following is a DFT calculation (PBE) of crystalline Tb4Er5Mg2 at its relaxed geometry.

POSCAR file:
```
Tb4Er5Mg2
1.0
3.375 0.000 -0.676
-1.267 9.314 -6.331
0.935 -3.989 13.438
Tb Er Mg
4 5 2
Cartesian
1.834 3.265 0.392 Tb
-0.856 6.989 -4.274 Tb
1.209 2.061 6.039 Tb
3.898 -1.664 10.705 Tb
1.060 -1.269 5.296 Er
1.983 6.595 1.135 Er
0.569 1.153 2.842 Er
1.688 0.000 -0.338 Er
2.474 4.172 3.589 Er
1.339 5.326 -2.082 Mg
1.704 0.000 8.513 Mg
```

Values from the calculation:
Calculated total energy (eV per atom): -3.914
Symmetry: No. 12

***

The following is a DFT calculation (PBE) of crystalline TbSm3Si2 at its relaxed geometry.

POSCAR file:
```
TbSm3Si2
1.0
4.381 0.000 0.000
-2.190 9.541 -0.743
0.000 -4.854 7.985
Tb Sm Si
2 6 4
Cartesian
2.190 2.990 6.600 Tb
0.000 1.696 0.643 Tb
0.000 3.467 3.586 Sm
2.190 5.742 4.192 Sm
2.190 -1.095 6.432 Sm
0.000 5.781 0.811 Sm
0.000 -1.055 3.051 Sm
2.190 1.220 3.656 Sm
0.000 5.245 6.150 Si
2.190 -0.559 1.092 Si
2.190 3.791 1.540 Si
0.000 0.895 5.703 Si
```

Values from the calculation:
Calculated total energy (eV per atom): -5.426
Formation energy without anion corrections (eV/atom): -0.49
Symmetry: No. 12

***

The following is a DFT calculation (PBE) of crystalline La2Zn3Rh4 at its relaxed geometry.

POSCAR file:
```
La2Zn3Rh4
1.0
-3.056 4.187 -2.389
-5.247 -4.724 -1.568
-1.929 -0.594 8.244
La Zn Rh
4 6 8
Cartesian
-3.792 -2.446 0.564 La
-6.439 1.315 3.723 La
-3.173 0.786 5.437 La
-7.058 -1.917 -1.150 La
0.000 0.000 0.000 Zn
-4.151 -0.268 -1.978 Zn
-6.540 -1.697 1.981 Zn
-5.219 2.660 1.111 Zn
-3.691 0.567 2.306 Zn
-5.012 -3.791 3.176 Zn
-7.664 -1.210 4.273 Rh
-4.096 2.173 -1.180 Rh
-2.568 0.079 0.014 Rh
-6.136 -3.303 5.467 Rh
-6.322 -4.125 0.856 Rh
-3.910 2.995 3.431 Rh
-4.807 -1.282 3.901 Rh
-5.425 0.151 0.386 Rh
```

Values from the calculation:
Calculated total energy (eV per atom): -5.392
Symmetry: No. 64

***

The following is a DFT calculation (PBE) of crystalline BeAs2W at its relaxed geometry.

POSCAR file:
```
BeAs2W
1.0
-0.472 -4.826 -4.221
2.287 -0.231 3.679
-1.565 -2.692 0.802
Be As W
1 2 1
Cartesian
0.361 -1.462 2.241 Be
0.000 0.000 0.000 As
-1.018 -3.759 -1.710 As
0.907 -2.529 -0.271 W
```

Values from the calculation:
Calculated total energy (eV per atom): -5.997
Symmetry: No. 65

***

The following is a DFT calculation (PBE) of crystalline Ta2Pd2W at its relaxed geometry.

POSCAR file:
```
Ta2Pd2W
1.0
7.825 0.000 0.000
0.000 7.825 0.000
0.000 0.000 2.767
Pd W Ta
4 2 4
Cartesian
2.964 6.876 0.000 Pd
6.876 4.861 0.000 Pd
4.861 0.948 0.000 Pd
0.948 2.964 0.000 Pd
0.000 0.000 0.000 W
3.912 3.912 0.000 W
1.385 5.298 1.383 Ta
5.298 6.440 1.383 Ta
6.440 2.527 1.383 Ta
2.527 1.385 1.383 Ta
```

Values from the calculation:
Calculated total energy (eV per atom): -9.321
Symmetry: No. 127

***

The following is a DFT calculation (PBE) of crystalline HfBPRhCl at its relaxed geometry.

POSCAR file:
```
HfBPRhCl
1.0
7.774 0.000 0.008
0.000 3.275 0.000
-4.016 0.000 7.690
Rh B Hf P Cl
2 2 2 2 2
Cartesian
1.781 0.000 1.712 Rh
-0.227 1.637 5.557 Rh
-1.750 0.000 5.530 B
0.258 1.637 1.685 B
-0.516 0.000 3.293 Hf
-2.524 1.637 7.138 Hf
7.416 0.000 0.632 P
5.408 1.637 4.477 P
1.697 0.000 4.491 Cl
3.705 1.637 0.646 Cl
```

Values from the calculation:
Calculated total energy (eV per atom): -6.778
Formation energy without anion corrections (eV/atom): -0.53
Symmetry: No. 8

***

The following is a DFT calculation (PBE) of crystalline TbZnCd2 at its relaxed geometry.

POSCAR file:
```
TbZnCd2
1.0
-2.290 -3.786 1.722
0.885 -2.364 -4.021
7.391 0.411 4.187
Tb Zn Cd
2 2 4
Cartesian
1.891 -0.753 0.859 Tb
4.095 -4.986 1.029 Tb
3.787 -2.514 -0.492 Zn
2.199 -3.225 2.380 Zn
0.442 -1.182 -2.011 Cd
-1.145 -1.893 0.861 Cd
4.830 -1.924 2.194 Cd
1.156 -3.815 -0.306 Cd
```

Values from the calculation:
Calculated total energy (eV per atom): -2.219
Symmetry: No. 139

***

The following is a DFT calculation (PBE) of crystalline B2C at its relaxed geometry.

POSCAR file:
```
B2C
1.0
2.471 0.000 0.000
0.000 4.867 -0.435
0.000 -0.622 6.969
B C
8 4
Cartesian
1.235 3.996 2.031 B
1.235 2.141 1.498 B
1.235 2.234 -0.158 B
0.000 2.950 4.033 B
0.000 1.284 4.361 B
0.000 1.567 2.585 B
0.000 -0.049 1.446 B
0.000 2.605 5.871 B
1.235 0.081 6.289 C
0.000 4.213 6.359 C
1.235 0.276 4.776 C
1.235 3.867 3.598 C
```

Values from the calculation:
Calculated total energy (eV per atom): -7.061
Symmetry: No. 6

***

The following is a DFT calculation (PBE) of crystalline BiRu2Pt at its relaxed geometry.

POSCAR file:
```
BiRu2Pt
1.0
-0.829 2.986 -2.570
-3.939 -0.681 0.479
-2.574 7.388 6.261
Ru Bi Pt
4 2 2
Cartesian
-1.584 3.377 0.235 Ru
-3.279 2.046 1.327 Ru
-4.050 6.348 3.952 Ru
-5.771 7.615 2.825 Ru
0.000 0.000 0.000 Bi
-2.894 5.763 1.322 Bi
-2.384 1.152 -1.046 Pt
-4.449 3.929 2.847 Pt
```

Values from the calculation:
Calculated total energy (eV per atom): -6.594
Symmetry: No. 122

***

The following is a DFT calculation (PBE) of crystalline SiOs2Pt at its relaxed geometry.

POSCAR file:
```
SiOs2Pt
1.0
4.589 0.023 0.000
-1.167 4.438 0.000
0.000 0.000 2.793
Os Pt Si
2 1 1
Cartesian
0.000 0.000 0.000 Os
1.711 2.231 0.000 Os
2.294 0.012 1.396 Pt
-0.584 2.219 1.396 Si
```

Values from the calculation:
Calculated total energy (eV per atom): -8.340
Formation energy without anion corrections (eV/atom): 0.14
Symmetry: No. 65

***

The following is a DFT calculation (PBE) of crystalline CaHgPb at its relaxed geometry.

POSCAR file:
```
CaHgPb
1.0
-2.188 -2.287 6.038
4.417 -3.479 -3.858
2.291 2.269 3.660
Pb Ca Hg
2 2 2
Cartesian
1.835 -1.586 5.856 Pb
5.144 -2.202 0.915 Pb
2.914 -4.963 0.773 Ca
1.775 -1.095 2.338 Ca
2.143 -2.037 -0.559 Hg
2.545 -4.021 3.670 Hg
```

Values from the calculation:
Calculated total energy (eV per atom): -2.394
Symmetry: No. 12

***

Q: Which of these has the highest calculated total energy?
A: TbZnCd2

***

What did the sixth record say?
The following is a DFT calculation (PBE) of crystalline Ta2Pd2W at its relaxed geometry.

POSCAR file:
```
Ta2Pd2W
1.0
7.825 0.000 0.000
0.000 7.825 0.000
0.000 0.000 2.767
Pd W Ta
4 2 4
Cartesian
2.964 6.876 0.000 Pd
6.876 4.861 0.000 Pd
4.861 0.948 0.000 Pd
0.948 2.964 0.000 Pd
0.000 0.000 0.000 W
3.912 3.912 0.000 W
1.385 5.298 1.383 Ta
5.298 6.440 1.383 Ta
6.440 2.527 1.383 Ta
2.527 1.385 1.383 Ta
```

Values from the calculation:
Calculated total energy (eV per atom): -9.321
Symmetry: No. 127